A relaxed Pr3MgAl2 crystal. Source: Alexandria via LeMat-Bulk, functional GGA-PBE.

Total energy ... -0.30591 Ry per atom
E above lowest polymorph ... 18.0 meV/atom
Volume ... 165.8 Å³ per cell
Total moment ... 0.000 μB per atom
Energy relative to the elements ... -0.259 eV per atom

The structure in CIF format:
```
data_Pr3MgAl2
_space_group_name_H-M_alt 'P 1'
_space_group_IT_number 1
_cell_length_a 3.7416
_cell_length_b 3.7416
_cell_length_c 11.8462
_cell_angle_alpha 90.00
_cell_angle_beta 90.00
_cell_angle_gamma 90.00
loop_
_space_group_symop_operation_xyz
'x,y,z'
loop_
_atom_site_label
_atom_site_type_symbol
_atom_site_fract_x
_atom_site_fract_y
_atom_site_fract_z
_atom_site_occupancy
Al1 Al 0.0000 0.0000 0.3354 1
Mg1 Mg 0.0000 0.0000 0.0000 1
Al2 Al 0.0000 0.0000 0.6646 1
Pr1 Pr 0.5000 0.5000 0.1800 1
Pr2 Pr 0.5000 0.5000 0.8200 1
Pr3 Pr 0.5000 0.5000 0.5000 1
```

=====

A relaxed Pr3Mg2Al7 crystal. Source: Alexandria via LeMat-Bulk, functional GGA-PBE.

Total energy ... -0.29505 Ry per atom
Volume ... 260.5 Å³ per cell
Total moment ... 0.000 μB per atom
Energy relative to the elements ... -0.371 eV per atom

The structure in CIF format:
```
data_Pr3Mg2Al7
_space_group_name_H-M_alt 'P 1'
_space_group_IT_number 1
_cell_length_a 5.7422
_cell_length_b 5.7422
_cell_length_c 9.7071
_cell_angle_alpha 72.80
_cell_angle_beta 72.80
_cell_angle_gamma 60.00
loop_
_space_group_symop_operation_xyz
'x,y,z'
loop_
_atom_site_label
_atom_site_type_symbol
_atom_site_fract_x
_atom_site_fract_y
_atom_site_fract_z
_atom_site_occupancy
Al1 Al 0.5881 0.0805 0.7432 1
Al2 Al 0.9195 0.4119 0.2568 1
Pr1 Pr 0.0000 0.0000 0.0000 1
Pr2 Pr 0.1410 0.1410 0.5771 1
Mg1 Mg 0.6653 0.6653 0.0041 1
Pr3 Pr 0.8590 0.8590 0.4229 1
Al3 Al 0.4119 0.9195 0.2568 1
Mg2 Mg 0.3347 0.3347 0.9959 1
Al4 Al 0.5881 0.5881 0.7432 1
Al5 Al 0.5000 0.5000 0.5000 1
Al6 Al 0.4119 0.4119 0.2568 1
Al7 Al 0.0805 0.5881 0.7432 1
```

=====

A relaxed Pr2Mg3Al crystal. Source: Alexandria via LeMat-Bulk, functional GGA-PBE.

Total energy ... -0.23441 Ry per atom
Volume ... 311.1 Å³ per cell
Total moment ... 0.000 μB per atom
Energy relative to the elements ... -0.175 eV per atom

The structure in CIF format:
```
data_Pr2Mg3Al
_space_group_name_H-M_alt 'P 1'
_space_group_IT_number 1
_cell_length_a 6.0718
_cell_length_b 6.0718
_cell_length_c 9.7436
_cell_angle_alpha 90.00
_cell_angle_beta 90.00
_cell_angle_gamma 120.00
loop_
_space_group_symop_operation_xyz
'x,y,z'
loop_
_atom_site_label
_atom_site_type_symbol
_atom_site_fract_x
_atom_site_fract_y
_atom_site_fract_z
_atom_site_occupancy
Pr1 Pr 0.6667 0.3333 0.4426 1
Mg1 Mg 0.1676 0.8324 0.2500 1
Mg2 Mg 0.6648 0.8324 0.2500 1
Al1 Al 0.0000 0.0000 0.5000 1
Al2 Al 0.0000 0.0000 0.0000 1
Mg3 Mg 0.1676 0.3352 0.2500 1
Pr2 Pr 0.3333 0.6667 0.9426 1
Pr3 Pr 0.6667 0.3333 0.0574 1
Mg4 Mg 0.3352 0.1676 0.7500 1
Pr4 Pr 0.3333 0.6667 0.5574 1
Mg5 Mg 0.8324 0.6648 0.7500 1
Mg6 Mg 0.8324 0.1676 0.7500 1
```

=====

A relaxed PrMg2Al9 crystal. Source: Alexandria via LeMat-Bulk, functional GGA-PBE.

Total energy ... -0.26397 Ry per atom
Volume ... 232.4 Å³ per cell
Total moment ... 0.000 μB per atom
Energy relative to the elements ... -0.121 eV per atom

The structure in CIF format:
```
data_PrMg2Al9
_space_group_name_H-M_alt 'P 1'
_space_group_IT_number 1
_cell_length_a 5.5179
_cell_length_b 5.5179
_cell_length_c 9.3731
_cell_angle_alpha 72.88
_cell_angle_beta 72.88
_cell_angle_gamma 60.00
loop_
_space_group_symop_operation_xyz
'x,y,z'
loop_
_atom_site_label
_atom_site_type_symbol
_atom_site_fract_x
_atom_site_fract_y
_atom_site_fract_z
_atom_site_occupancy
Mg1 Mg 0.1442 0.1442 0.5673 1
Al1 Al 0.4131 0.9205 0.2533 1
Al2 Al 0.0795 0.5869 0.7467 1
Al3 Al 0.9205 0.4131 0.2533 1
Pr1 Pr 0.0000 0.0000 0.0000 1
Al4 Al 0.6652 0.6652 0.0043 1
Al5 Al 0.4131 0.4131 0.2533 1
Al6 Al 0.5000 0.5000 0.5000 1
Mg2 Mg 0.8558 0.8558 0.4327 1
Al7 Al 0.5869 0.0795 0.7467 1
Al8 Al 0.3348 0.3348 0.9957 1
Al9 Al 0.5869 0.5869 0.7467 1
```

=====

A relaxed Pr12MgAl6 crystal. Source: Alexandria via LeMat-Bulk, functional GGA-PBE.

Total energy ... -0.32283 Ry per atom
Volume ... 554.4 Å³ per cell
Total moment ... 0.000 μB per atom
Energy relative to the elements ... -0.108 eV per atom

The structure in CIF format:
```
data_Pr12MgAl6
_space_group_name_H-M_alt 'P 1'
_space_group_IT_number 1
_cell_length_a 9.1478
_cell_length_b 9.1478
_cell_length_c 9.1478
_cell_angle_alpha 110.96
_cell_angle_beta 110.96
_cell_angle_gamma 110.96
loop_
_space_group_symop_operation_xyz
'x,y,z'
loop_
_atom_site_label
_atom_site_type_symbol
_atom_site_fract_x
_atom_site_fract_y
_atom_site_fract_z
_atom_site_occupancy
Pr1 Pr 0.9063 0.8213 0.2669 1
Pr2 Pr 0.6496 0.5161 0.8093 1
Al1 Al 0.3501 0.0665 0.5853 1
Mg1 Mg 0.0000 0.0000 0.0000 1
Pr3 Pr 0.0937 0.1787 0.7331 1
Pr4 Pr 0.1787 0.7331 0.0937 1
Pr5 Pr 0.4839 0.1907 0.3504 1
Pr6 Pr 0.8213 0.2669 0.9063 1
Pr7 Pr 0.1907 0.3504 0.4839 1
Al2 Al 0.9335 0.4147 0.6499 1
Pr8 Pr 0.7331 0.0937 0.1787 1
Al3 Al 0.6499 0.9335 0.4147 1
Al4 Al 0.4147 0.6499 0.9335 1
Al5 Al 0.5853 0.3501 0.0665 1
Al6 Al 0.0665 0.5853 0.3501 1
Pr9 Pr 0.3504 0.4839 0.1907 1
Pr10 Pr 0.2669 0.9063 0.8213 1
Pr11 Pr 0.8093 0.6496 0.5161 1
Pr12 Pr 0.5161 0.8093 0.6496 1
```

=====

A relaxed Pr3MgAl2 crystal. Source: Alexandria via LeMat-Bulk, functional GGA-PBE.

Total energy ... -0.30723 Ry per atom
E above lowest polymorph ... 0.0 meV/atom
Volume ... 329.9 Å³ per cell
Total moment ... 0.000 μB per atom
Energy relative to the elements ... -0.277 eV per atom

The structure in CIF format:
```
data_Pr3MgAl2
_space_group_name_H-M_alt 'P 1'
_space_group_IT_number 1
_cell_length_a 5.3788
_cell_length_b 5.3788
_cell_length_c 13.1663
_cell_angle_alpha 90.00
_cell_angle_beta 90.00
_cell_angle_gamma 120.00
loop_
_space_group_symop_operation_xyz
'x,y,z'
loop_
_atom_site_label
_atom_site_type_symbol
_atom_site_fract_x
_atom_site_fract_y
_atom_site_fract_z
_atom_site_occupancy
Pr1 Pr 0.3333 0.6667 0.4169 1
Mg1 Mg 0.3333 0.6667 0.6693 1
Pr2 Pr 0.0000 0.0000 0.7573 1
Al1 Al 0.0000 0.0000 0.0000 1
Al2 Al 0.0000 0.0000 0.5000 1
Pr3 Pr 0.6667 0.3333 0.0771 1
Pr4 Pr 0.6667 0.3333 0.5831 1
Al3 Al 0.3333 0.6667 0.1736 1
Al4 Al 0.6667 0.3333 0.8264 1
Pr5 Pr 0.3333 0.6667 0.9229 1
Mg2 Mg 0.6667 0.3333 0.3307 1
Pr6 Pr 0.0000 0.0000 0.2427 1
```

=====

A relaxed Pr12Mg6Al crystal. Source: Alexandria via LeMat-Bulk, functional GGA-PBE.

Total energy ... -0.27359 Ry per atom
Volume ... 593.0 Å³ per cell
Total moment ... 0.000 μB per atom
Energy relative to the elements ... -0.003 eV per atom

The structure in CIF format:
```
data_Pr12Mg6Al
_space_group_name_H-M_alt 'P 1'
_space_group_IT_number 1
_cell_length_a 8.4060
_cell_length_b 8.4060
_cell_length_c 8.4060
_cell_angle_alpha 88.13
_cell_angle_beta 88.13
_cell_angle_gamma 88.13
loop_
_space_group_symop_operation_xyz
'x,y,z'
loop_
_atom_site_label
_atom_site_type_symbol
_atom_site_fract_x
_atom_site_fract_y
_atom_site_fract_z
_atom_site_occupancy
Mg1 Mg 0.2512 0.1052 0.7476 1
Pr1 Pr 0.3745 0.0322 0.1527 1
Pr2 Pr 0.8056 0.5218 0.4493 1
Pr3 Pr 0.5507 0.1944 0.4782 1
Mg2 Mg 0.7476 0.2512 0.1052 1
Pr4 Pr 0.1944 0.4782 0.5507 1
Mg3 Mg 0.2524 0.7488 0.8948 1
Mg4 Mg 0.1052 0.7476 0.2512 1
Mg5 Mg 0.8948 0.2524 0.7488 1
Mg6 Mg 0.7488 0.8948 0.2524 1
Pr5 Pr 0.5218 0.4493 0.8056 1
Al1 Al 0.0000 0.0000 0.0000 1
Pr6 Pr 0.8473 0.6255 0.9678 1
Pr7 Pr 0.6255 0.9678 0.8473 1
Pr8 Pr 0.0322 0.1527 0.3745 1
Pr9 Pr 0.1527 0.3745 0.0322 1
Pr10 Pr 0.4493 0.8056 0.5218 1
Pr11 Pr 0.9678 0.8473 0.6255 1
Pr12 Pr 0.4782 0.5507 0.1944 1
```

=====

A relaxed Pr4Mg3Al crystal. Source: Alexandria via LeMat-Bulk, functional GGA-PBE.

Total energy ... -0.26717 Ry per atom
Volume ... 230.9 Å³ per cell
Total moment ... 0.000 μB per atom
Energy relative to the elements ... -0.180 eV per atom

The structure in CIF format:
```
data_Pr4Mg3Al
_space_group_name_H-M_alt 'P 1'
_space_group_IT_number 1
_cell_length_a 5.4596
_cell_length_b 5.4596
_cell_length_c 9.4848
_cell_angle_alpha 73.27
_cell_angle_beta 73.27
_cell_angle_gamma 60.00
loop_
_space_group_symop_operation_xyz
'x,y,z'
loop_
_atom_site_label
_atom_site_type_symbol
_atom_site_fract_x
_atom_site_fract_y
_atom_site_fract_z
_atom_site_occupancy
Mg1 Mg 0.7524 0.7524 0.7427 1
Pr1 Pr 0.6277 0.6277 0.1168 1
Al1 Al 0.0000 0.0000 0.0000 1
Pr2 Pr 0.3723 0.3723 0.8832 1
Mg2 Mg 0.5000 0.5000 0.5000 1
Pr3 Pr 0.1220 0.1220 0.6340 1
Pr4 Pr 0.8780 0.8780 0.3660 1
Mg3 Mg 0.2476 0.2476 0.2573 1
```

=====

A relaxed Pr8MgAl2 crystal. Source: Alexandria via LeMat-Bulk, functional GGA-PBE.

Total energy ... -0.32431 Ry per atom
E above lowest polymorph ... 0.0 meV/atom
Volume ... 348.5 Å³ per cell
Total moment ... 0.000 μB per atom
Energy relative to the elements ... -0.111 eV per atom

The structure in CIF format:
```
data_Pr8MgAl2
_space_group_name_H-M_alt 'P 1'
_space_group_IT_number 1
_cell_length_a 5.0722
_cell_length_b 8.1076
_cell_length_c 9.3123
_cell_angle_alpha 108.19
_cell_angle_beta 105.80
_cell_angle_gamma 90.00
loop_
_space_group_symop_operation_xyz
'x,y,z'
loop_
_atom_site_label
_atom_site_type_symbol
_atom_site_fract_x
_atom_site_fract_y
_atom_site_fract_z
_atom_site_occupancy
Pr1 Pr 0.3253 0.0694 0.6506 1
Pr2 Pr 0.3974 0.5375 0.7948 1
Pr3 Pr 0.8256 0.7428 0.6512 1
Pr4 Pr 0.6026 0.4625 0.2052 1
Pr5 Pr 0.6747 0.9306 0.3494 1
Mg1 Mg 0.5000 0.0000 0.0000 1
Pr6 Pr 0.9598 0.2647 0.9196 1
Pr7 Pr 0.1744 0.2572 0.3488 1
Al1 Al 0.2093 0.6763 0.4187 1
Al2 Al 0.7907 0.3237 0.5813 1
Pr8 Pr 0.0402 0.7353 0.0804 1
```

=====

A relaxed PrMgAl crystal. Source: Alexandria via LeMat-Bulk, functional GGA-PBE.

Total energy ... -0.25759 Ry per atom
Volume ... 86.3 Å³ per cell
Total moment ... 0.000 μB per atom
Energy relative to the elements ... -0.133 eV per atom

The structure in CIF format:
```
data_PrMgAl
_space_group_name_H-M_alt 'P 1'
_space_group_IT_number 1
_cell_length_a 4.9612
_cell_length_b 4.9612
_cell_length_c 4.9612
_cell_angle_alpha 60.00
_cell_angle_beta 60.00
_cell_angle_gamma 60.00
loop_
_space_group_symop_operation_xyz
'x,y,z'
loop_
_atom_site_label
_atom_site_type_symbol
_atom_site_fract_x
_atom_site_fract_y
_atom_site_fract_z
_atom_site_occupancy
Mg1 Mg 0.5000 0.5000 0.5000 1
Pr1 Pr 0.0000 0.0000 0.0000 1
Al1 Al 0.2500 0.2500 0.2500 1
```